(1)
Below is LiMo2Pt after structural relaxation, with properties calculated at the PBE level.

Cell and atoms, written as POSCAR:
```
LiMo2Pt
1.0
4.963 -0.007 0.003
1.827 4.614 -0.003
-2.927 -2.994 2.665
Li Mo Pt
1 2 1
Cartesian
2.694 -0.363 1.334
0.107 0.073 0.000
1.057 1.901 1.331
3.399 2.307 0.000
```

Computed properties:
- Symmetry: Imm2
- Formation energy: 0.069 eV/atom
- Offset from the most stable computed form: 0.148 eV/atom



(2)
Below is Li2MoPt after structural relaxation, with properties calculated at the PBE level.

Cell and atoms, written as POSCAR:
```
Li2MoPt
1.0
6.911 0.000 0.000
0.000 6.911 0.000
3.455 3.455 2.533
Mo Pt Li
2 2 4
Cartesian
3.455 3.455 0.000
3.455 6.911 1.267
0.000 0.000 0.000
6.911 3.455 1.267
5.320 1.728 0.633
1.591 5.183 0.633
5.183 5.046 1.900
8.639 8.776 1.900
```

Computed properties:
- Symmetry: I-42d
- Formation energy: 0.494 eV/atom
- Offset from the most stable computed form: 0.606 eV/atom